A plane-wave DFT calculation with PBE was carried out for a geometry-optimized Pu3HfGe5 structure.

Cell and atoms, written as CIF:
```
data_Pu3HfGe5
_cell_length_a 8.5870
_cell_length_b 8.5870
_cell_length_c 5.9266
_cell_angle_alpha 90.00
_cell_angle_beta 90.00
_cell_angle_gamma 120.00
_space_group_name_H-M_alt 'P 63/m c m'
_space_group_IT_number 193
_space_group_name_Hall '-P 6c 2'
loop_
_atom_site_label
_atom_site_type_symbol
_atom_site_fract_x
_atom_site_fract_y
_atom_site_fract_z
Pu1 Pu 0.0000 0.3857 0.2500
Hf1 Hf 0.0000 0.0000 0.0000
Ge1 Ge 0.0000 0.2738 0.7500
Ge2 Ge 0.3333 0.6667 0.0000
```

=====

A plane-wave DFT calculation with PBE was carried out for a geometry-optimized TiMnAlCr structure.

Cell and atoms, written as CIF:
```
data_TiMnAlCr
_cell_length_a 6.0370
_cell_length_b 6.0370
_cell_length_c 6.0370
_cell_angle_alpha 90.00
_cell_angle_beta 90.00
_cell_angle_gamma 90.00
_space_group_name_H-M_alt 'F -4 3 m'
_space_group_IT_number 216
_space_group_name_Hall 'F -4 2 3'
loop_
_atom_site_label
_atom_site_type_symbol
_atom_site_fract_x
_atom_site_fract_y
_atom_site_fract_z
Ti1 Ti 0.0000 0.0000 0.0000
Mn1 Mn 0.2500 0.2500 0.2500
Al1 Al 0.0000 0.0000 0.5000
Cr1 Cr 0.2500 0.2500 0.7500
```

=====

A plane-wave DFT calculation with PBE was carried out for a geometry-optimized AlWAu2 structure.

Cell and atoms, written as CIF:
```
data_AlWAu2
_cell_length_a 2.9139
_cell_length_b 2.9139
_cell_length_c 27.3642
_cell_angle_alpha 90.00
_cell_angle_beta 90.00
_cell_angle_gamma 120.00
_space_group_name_H-M_alt 'R 3 m'
_space_group_IT_number 160
_space_group_name_Hall 'R 3 -2"'
loop_
_atom_site_label
_atom_site_type_symbol
_atom_site_fract_x
_atom_site_fract_y
_atom_site_fract_z
Al1 Al 0.0000 0.0000 0.0000
W1 W 0.0000 0.0000 0.7464
Au1 Au 0.0000 0.0000 0.2554
Au2 Au 0.0000 0.0000 0.4970
```

=====

A plane-wave DFT calculation with PBE was carried out for a geometry-optimized VZn2Ni8 structure.

Cell and atoms, written as CIF:
```
data_VZn2Ni8
_cell_length_a 6.3486
_cell_length_b 11.4100
_cell_length_c 4.1540
_cell_angle_alpha 90.00
_cell_angle_beta 117.68
_cell_angle_gamma 90.00
_space_group_name_H-M_alt 'C 1 2/m 1'
_space_group_IT_number 12
loop_
_space_group_symop_operation_xyz
'x,y,z'
'-x,-y,-z'
'-x,y,-z'
'x,-y,z'
'x+1/2,y+1/2,z'
'-x+1/2,-y+1/2,-z'
'-x+1/2,y+1/2,-z'
'x+1/2,-y+1/2,z'
loop_
_atom_site_label
_atom_site_type_symbol
_atom_site_fract_x
_atom_site_fract_y
_atom_site_fract_z
V1 V 0.0000 0.0000 0.0000
Zn1 Zn 0.0000 0.3044 0.5000
Ni1 Ni 0.0000 0.2022 0.0000
Ni2 Ni 0.0962 0.5000 0.8071
Ni3 Ni 0.2101 0.1078 0.6409
```

=====

Table of formation energy from the elements (eV per atom), in record order: -0.4645, -0.1781, 0.0706, 0.0480
Table of total moment (μB/atom), in record order: 1.67, 0.97, 0.00, 0.00
Table of E (eV/cell), in record order: -160.43, -124.57, -68.90, -114.78